Below is a relaxed structure of MnGaClO2, with properties calculated at the PBE with a Hubbard U level.

Lattice parameters (Å, degrees): 3.975 6.253 7.101 91.63 90.00 90.00
Fractional coordinates of all 10 atoms:
Mn: 0.750 0.179 0.589
Mn: 0.250 0.821 0.411
Ga: 0.250 0.950 0.851
Ga: 0.750 0.050 0.149
Cl: 0.750 0.396 0.275
Cl: 0.250 0.604 0.725
O: 0.750 0.016 0.882
O: 0.250 0.984 0.118
O: 0.250 0.097 0.623
O: 0.750 0.903 0.377

## Properties
- SG = P2_1/m (11)
- raw total energy (eV/atom) = -5.999
- size of the total moment (μB per cell) = 10.00